This record from Alexandria describes a crystal of YMoC2 relaxed with PBEsol. The functional is meta-GGA SCAN.

Calculated values
space-group type: Pnma
raw total energy: -21.07 eV per atom
magnetization: 0.0 μB/f.u.
ΔH_f (0 K): -335.7 meV per atom

Cell: 3.365 5.643 10.665 Å, 90.00 90.00 90.00°
Sites, in units of the cell vectors:
Y 0.750 0.414 0.638
Y 0.750 0.914 0.862
Y 0.250 0.586 0.362
Y 0.250 0.086 0.138
Mo 0.750 0.097 0.391
Mo 0.750 0.597 0.109
Mo 0.250 0.903 0.609
Mo 0.250 0.403 0.891
C 0.750 0.341 0.252
C 0.750 0.841 0.248
C 0.250 0.659 0.748
C 0.250 0.159 0.752
C 0.750 0.777 0.516
C 0.750 0.277 0.984
C 0.250 0.223 0.484
C 0.250 0.723 0.016

---

This record from Alexandria describes a crystal of LiAlRe2 relaxed with PBEsol. The functional is meta-GGA SCAN.

Calculated values
space-group type: R-3m
raw total energy: -38.02 eV per atom
magnetization: 0.0 μB/f.u.
ΔH_f (0 K): 66.9 meV per atom

Cell: 2.720 2.720 9.130 Å, 81.43 81.43 60.00°
Sites, in units of the cell vectors:
Al 0.500 0.500 0.500
Li 0.000 0.000 0.000
Re 0.247 0.247 0.260
Re 0.753 0.753 0.740